Record 1
Material: KP3W
Method: DFT, PBE
State: optimized geometry

Output
Total magnetization, μB per formula unit: 0.000
ΔE to the lowest computed polymorph, kJ per mole of atoms: 0.0
DOS(E_F), states/eV/f.u.: 3.94
Formation energy, meV/atom: 87
Density, Mg/m³: 4.7

Cell lengths 4.8008, 4.8008, 4.8008 Å; angles 90.00, 90.00, 90.00 degrees
With the nearest neighbours (Å) after each atom.
Space group Pm-3m (No. 221)
One atom of each set of equivalent atoms:
K 0.0000 0.0000 0.0000 [1 per cell]  12 P 3.39
P 0.0000 0.5000 0.5000 [3 per cell]  2 W 2.40
W 0.5000 0.5000 0.5000 [1 per cell]  6 P 2.40

Record 2
Material: Na2YH
Method: DFT, PBE
State: optimized geometry

Output
Total magnetization, μB per formula unit: 0.000
ΔE to the lowest computed polymorph, kJ per mole of atoms: 45.4
DOS(E_F), states/eV/f.u.: 3.19
Density, Mg/m³: 2.0

Cell lengths 7.6340, 7.6340, 7.6340 Å; angles 90.00, 90.00, 90.00 degrees
With the nearest neighbours (Å) after each atom.
Space group Fm-3m (No. 225)
One atom of each set of equivalent atoms:
Na 0.2500 0.2500 0.2500 [8 per cell]  4 H 3.31, 4 Y 3.31
Y 0.0000 0.0000 0.0000 [4 per cell]  8 Na 3.31
H 0.0000 0.0000 0.5000 [4 per cell]  8 Na 3.31

Record 3
Material: BiAs2WBr
Method: DFT, PBE
State: optimized geometry

Output
Total magnetization, μB per formula unit: 1.096
ΔE to the lowest computed polymorph, kJ per mole of atoms: 0.0
DOS(E_F), states/eV/f.u.: 5.20
Energy relative to the elements, uncorrected, kJ/mol of formula units: 266
Density, Mg/m³: 8.1

Cell lengths 4.9003, 4.9003, 5.3328 Å; angles 90.00, 90.00, 90.00 degrees
With the nearest neighbours (Å) after each atom.
Space group P4/mmm (No. 123)
One atom of each set of equivalent atoms:
Bi 0.0000 0.0000 0.0000 [1 per cell]  4 Br 3.47, 8 As 3.62
As 0.0000 0.5000 0.5000 [2 per cell]  2 W 2.45
W 0.5000 0.5000 0.5000 [1 per cell]  4 As 2.45, 2 Br 2.67
Br 0.5000 0.5000 0.0000 [1 per cell]  2 W 2.67